Entry 1:
! Er4InAg2Pt PBE-GGA relaxed; values from VASP
&SYSTEM
  ibrav = 0, nat = 8, ntyp = 4
/
ATOMIC_SPECIES
Er 167.26 Er.upf
In 114.82 In.upf
Ag 107.87 Ag.upf
Pt 195.08 Pt.upf
CELL_PARAMETERS angstrom
2.545 1.470 8.303
-2.545 1.470 8.303
0.000 -2.939 8.303
ATOMIC_POSITIONS crystal
Er 0.116 0.116 0.116
Er 0.368 0.368 0.368
Er 0.632 0.632 0.632
Er 0.884 0.884 0.884
In 0.500 0.500 0.500
Ag 0.241 0.241 0.241
Ag 0.759 0.759 0.759
Pt 0.000 0.000 0.000
! ΔH_f (0 K), eV/atom: -0.63
! Space-group type: No. 166
! Magnetic moment, μB per cell: 0.0

---

Entry 2:
! ErInAgPt PBE-GGA relaxed; values from VASP
&SYSTEM
  ibrav = 0, nat = 4, ntyp = 4
/
ATOMIC_SPECIES
Er 167.26 Er.upf
In 114.82 In.upf
Ag 107.87 Ag.upf
Pt 195.08 Pt.upf
CELL_PARAMETERS angstrom
0.000 3.427 3.427
3.427 0.000 3.427
3.427 3.427 0.000
ATOMIC_POSITIONS crystal
Er 0.000 0.000 0.000
In 0.500 0.500 0.500
Ag 0.250 0.250 0.250
Pt 0.750 0.750 0.750
! ΔH_f (0 K), eV/atom: -0.67
! Space-group type: No. 216
! Magnetic moment, μB per cell: 0.0

---

Entry 3:
! ErPuInAg PBE-GGA relaxed; values from VASP
&SYSTEM
  ibrav = 0, nat = 4, ntyp = 4
/
ATOMIC_SPECIES
Er 167.26 Er.upf
Pu 244.00 Pu.upf
In 114.82 In.upf
Ag 107.87 Ag.upf
CELL_PARAMETERS angstrom
0.000 3.719 3.719
3.719 0.000 3.719
3.719 3.719 0.000
ATOMIC_POSITIONS crystal
Er 0.000 0.000 0.000
Pu 0.500 0.500 0.500
In 0.750 0.750 0.750
Ag 0.250 0.250 0.250
! ΔH_f (0 K), eV/atom: -0.15
! Space-group type: No. 216
! Magnetic moment, μB per cell: 5.7

---

Entry 4:
! Er4InAg2Rh PBE-GGA relaxed; values from VASP
&SYSTEM
  ibrav = 0, nat = 8, ntyp = 4
/
ATOMIC_SPECIES
Er 167.26 Er.upf
In 114.82 In.upf
Ag 107.87 Ag.upf
Rh 102.91 Rh.upf
CELL_PARAMETERS angstrom
2.540 1.466 8.233
-2.540 1.466 8.233
0.000 -2.933 8.233
ATOMIC_POSITIONS crystal
Er 0.115 0.115 0.115
Er 0.368 0.368 0.368
Er 0.632 0.632 0.632
Er 0.885 0.885 0.885
In 0.500 0.500 0.500
Ag 0.242 0.242 0.242
Ag 0.758 0.758 0.758
Rh 0.000 0.000 0.000
! ΔH_f (0 K), eV/atom: -0.54
! Space-group type: No. 166
! Magnetic moment, μB per cell: 0.0

---

Entry 5:
! ErInAgRh PBE-GGA relaxed; values from VASP
&SYSTEM
  ibrav = 0, nat = 4, ntyp = 4
/
ATOMIC_SPECIES
Er 167.26 Er.upf
In 114.82 In.upf
Ag 107.87 Ag.upf
Rh 102.91 Rh.upf
CELL_PARAMETERS angstrom
0.000 3.397 3.397
3.397 0.000 3.397
3.397 3.397 0.000
ATOMIC_POSITIONS crystal
Er 0.000 0.000 0.000
In 0.500 0.500 0.500
Ag 0.250 0.250 0.250
Rh 0.750 0.750 0.750
! ΔH_f (0 K), eV/atom: -0.49
! Space-group type: No. 216
! Magnetic moment, μB per cell: 0.0

---

Entry 6:
! Er4InAgRh2 PBE-GGA relaxed; values from VASP
&SYSTEM
  ibrav = 0, nat = 8, ntyp = 4
/
ATOMIC_SPECIES
Er 167.26 Er.upf
In 114.82 In.upf
Ag 107.87 Ag.upf
Rh 102.91 Rh.upf
CELL_PARAMETERS angstrom
2.493 1.439 8.175
-2.493 1.439 8.175
0.000 -2.878 8.175
ATOMIC_POSITIONS crystal
Er 0.122 0.122 0.122
Er 0.372 0.372 0.372
Er 0.628 0.628 0.628
Er 0.878 0.878 0.878
In 0.500 0.500 0.500
Ag 0.000 0.000 0.000
Rh 0.248 0.248 0.248
Rh 0.752 0.752 0.752
! ΔH_f (0 K), eV/atom: -0.60
! Space-group type: No. 166
! Magnetic moment, μB per cell: 0.0

---

Entry 7:
! ErInAgRu PBE-GGA relaxed; values from VASP
&SYSTEM
  ibrav = 0, nat = 4, ntyp = 4
/
ATOMIC_SPECIES
Er 167.26 Er.upf
In 114.82 In.upf
Ag 107.87 Ag.upf
Ru 101.07 Ru.upf
CELL_PARAMETERS angstrom
0.000 3.390 3.390
3.390 0.000 3.390
3.390 3.390 0.000
ATOMIC_POSITIONS crystal
Er 0.000 0.000 0.000
In 0.500 0.500 0.500
Ag 0.750 0.750 0.750
Ru 0.250 0.250 0.250
! ΔH_f (0 K), eV/atom: -0.21
! Space-group type: No. 216
! Magnetic moment, μB per cell: 0.0

---

Entry 8:
! Er3In3AgRu2 PBE-GGA relaxed; values from VASP
&SYSTEM
  ibrav = 0, nat = 9, ntyp = 4
/
ATOMIC_SPECIES
Er 167.26 Er.upf
In 114.82 In.upf
Ag 107.87 Ag.upf
Ru 101.07 Ru.upf
CELL_PARAMETERS angstrom
7.641 0.000 0.000
-3.821 6.618 0.000
0.000 0.000 3.848
ATOMIC_POSITIONS crystal
Er 0.000 0.409 0.000
Er 0.409 0.000 0.000
Er 0.591 0.591 0.000
In 0.000 0.728 0.500
In 0.272 0.272 0.500
In 0.728 0.000 0.500
Ag 0.000 0.000 0.000
Ru 0.333 0.667 0.500
Ru 0.667 0.333 0.500
! ΔH_f (0 K), eV/atom: -0.38
! Space-group type: No. 189
! Magnetic moment, μB per cell: 0.0

---

Entry 9:
! ErInAg2S4 PBE-GGA relaxed; values from VASP
&SYSTEM
  ibrav = 0, nat = 16, ntyp = 4
/
ATOMIC_SPECIES
Er 167.26 Er.upf
In 114.82 In.upf
Ag 107.87 Ag.upf
S 32.06 S.upf
CELL_PARAMETERS angstrom
-3.843 4.011 5.439
3.843 -4.011 5.439
3.843 4.011 -5.439
ATOMIC_POSITIONS crystal
Er 0.000 0.000 0.000
Er 0.500 0.000 0.500
In 0.500 0.000 0.000
In 0.500 0.500 0.500
Ag 0.000 0.000 0.500
Ag 0.000 0.500 0.000
Ag 0.000 0.500 0.500
Ag 0.500 0.500 0.000
S 0.245 0.235 0.491
S 0.245 0.754 0.009
S 0.271 0.749 0.523
S 0.274 0.251 0.023
S 0.726 0.749 0.977
S 0.729 0.251 0.477
S 0.755 0.246 0.991
S 0.755 0.765 0.509
! Formation energy without anion corrections, eV/atom: -0.794
! Space-group type: No. 74
! Magnetic moment, μB per cell: 0.0

---

Entry 10:
! Er3InAg3S8 PBE-GGA relaxed; values from VASP
&SYSTEM
  ibrav = 0, nat = 15, ntyp = 4
/
ATOMIC_SPECIES
Er 167.26 Er.upf
In 114.82 In.upf
Ag 107.87 Ag.upf
S 32.06 S.upf
CELL_PARAMETERS angstrom
6.521 -3.952 0.000
6.521 3.952 0.000
-4.541 0.000 6.488
ATOMIC_POSITIONS crystal
Er 0.000 0.000 0.000
Er 0.000 0.500 0.500
Er 0.500 0.000 0.500
In 0.500 0.500 0.000
Ag 0.000 0.500 0.000
Ag 0.500 0.000 0.000
Ag 0.500 0.500 0.500
S 0.251 0.251 0.269
S 0.251 0.739 0.229
S 0.255 0.255 0.746
S 0.261 0.749 0.771
S 0.739 0.251 0.229
S 0.745 0.745 0.254
S 0.749 0.261 0.771
S 0.749 0.749 0.731
! Formation energy without anion corrections, eV/atom: -1.065
! Space-group type: No. 12
! Magnetic moment, μB per cell: 0.0

---

Entry 11:
! ErScInAg PBE-GGA relaxed; values from VASP
&SYSTEM
  ibrav = 0, nat = 4, ntyp = 4
/
ATOMIC_SPECIES
Er 167.26 Er.upf
Sc 44.96 Sc.upf
In 114.82 In.upf
Ag 107.87 Ag.upf
CELL_PARAMETERS angstrom
0.000 3.595 3.595
3.595 0.000 3.595
3.595 3.595 0.000
ATOMIC_POSITIONS crystal
Er 0.000 0.000 0.000
Sc 0.500 0.500 0.500
In 0.750 0.750 0.750
Ag 0.250 0.250 0.250
! ΔH_f (0 K), eV/atom: -0.38
! Space-group type: No. 216
! Magnetic moment, μB per cell: 0.0

---

Entry 12:
! SrErInAg PBE-GGA relaxed; values from VASP
&SYSTEM
  ibrav = 0, nat = 4, ntyp = 4
/
ATOMIC_SPECIES
Sr 87.62 Sr.upf
Er 167.26 Er.upf
In 114.82 In.upf
Ag 107.87 Ag.upf
CELL_PARAMETERS angstrom
0.000 3.827 3.827
3.827 0.000 3.827
3.827 3.827 0.000
ATOMIC_POSITIONS crystal
Sr 0.000 0.000 0.000
Er 0.500 0.500 0.500
In 0.250 0.250 0.250
Ag 0.750 0.750 0.750
! ΔH_f (0 K), eV/atom: -0.29
! Space-group type: No. 216
! Magnetic moment, μB per cell: 0.0

---

Entry 13:
! TbEr2In2Ag2 PBE-GGA relaxed; values from VASP
&SYSTEM
  ibrav = 0, nat = 7, ntyp = 4
/
ATOMIC_SPECIES
Tb 158.93 Tb.upf
Er 167.26 Er.upf
In 114.82 In.upf
Ag 107.87 Ag.upf
CELL_PARAMETERS angstrom
2.419 1.397 8.827
-2.419 1.397 8.827
0.000 -2.794 8.827
ATOMIC_POSITIONS crystal
Tb 0.000 0.000 0.000
Er 0.127 0.127 0.127
Er 0.873 0.873 0.873
In 0.259 0.259 0.259
In 0.741 0.741 0.741
Ag 0.399 0.399 0.399
Ag 0.601 0.601 0.601
! ΔH_f (0 K), eV/atom: -0.27
! Space-group type: No. 166
! Magnetic moment, μB per cell: 0.0

---

| no. | ρ (g/cm3) |
| --- | --- |
| 1 | 10.646 |
| 2 | 12.065 |
| 3 | 10.230 |
| 4 | 9.950 |
| 5 | 10.443 |
| 6 | 10.358 |
| 7 | 10.463 |
| 8 | 9.866 |
| 9 | 6.201 |
| 10 | 5.943 |
| 11 | 7.769 |
| 12 | 7.072 |
| 13 | 8.711 |